1.
# PBE K2BeCdC, optimized geometry
data_K2BeCdC
_space_group_name_H-M_alt 'P 4/m m m'
_space_group_IT_number 123
_space_group_name_Hall '-P 4 2'
_cell_length_a 6.498
_cell_length_b 6.498
_cell_length_c 4.027
_cell_angle_alpha 90.00
_cell_angle_beta 90.00
_cell_angle_gamma 90.00
loop_
_atom_site_label
_atom_site_type_symbol
_atom_site_fract_x
_atom_site_fract_y
_atom_site_fract_z
_atom_site_occupancy
K1 K 0.000 0.500 0.000 1
Be1 Be 0.000 0.000 0.500 1
Cd1 Cd 0.500 0.500 0.000 1
C1 C 0.500 0.500 0.500 1
# Fermi-level density of states   2.37 states/eV/f.u.
# Spin magnetization   0.03 μB/atom
# Raw total energy   -9.60 eV/cell

2.
# PBE La2BeCdC, optimized geometry
data_La2BeCdC
_space_group_name_H-M_alt 'P 4/m m m'
_space_group_IT_number 123
_space_group_name_Hall '-P 4 2'
_cell_length_a 5.559
_cell_length_b 5.559
_cell_length_c 3.527
_cell_angle_alpha 90.00
_cell_angle_beta 90.00
_cell_angle_gamma 90.00
loop_
_atom_site_label
_atom_site_type_symbol
_atom_site_fract_x
_atom_site_fract_y
_atom_site_fract_z
_atom_site_occupancy
La1 La 0.000 0.500 0.000 1
Be1 Be 0.000 0.000 0.500 1
Cd1 Cd 0.500 0.500 0.500 1
C1 C 0.000 0.000 0.000 1
# Fermi-level density of states   5.03 states/eV/f.u.
# Spin magnetization   0.00 μB/atom
# Raw total energy   -24.30 eV/cell

3.
# PBE Sc2BeCdC, optimized geometry
data_Sc2BeCdC
_space_group_name_H-M_alt 'P 4/m m m'
_space_group_IT_number 123
_space_group_name_Hall '-P 4 2'
_cell_length_a 4.705
_cell_length_b 4.705
_cell_length_c 3.567
_cell_angle_alpha 90.00
_cell_angle_beta 90.00
_cell_angle_gamma 90.00
loop_
_atom_site_label
_atom_site_type_symbol
_atom_site_fract_x
_atom_site_fract_y
_atom_site_fract_z
_atom_site_occupancy
Sc1 Sc 0.000 0.500 0.000 1
Be1 Be 0.000 0.000 0.500 1
Cd1 Cd 0.500 0.500 0.500 1
C1 C 0.000 0.000 0.000 1
# Fermi-level density of states   3.56 states/eV/f.u.
# Spin magnetization   0.00 μB/atom
# Raw total energy   -27.82 eV/cell

4.
# PBE TaBeCdC2, optimized geometry
data_TaBeCdC2
_space_group_name_H-M_alt 'P 4/m m m'
_space_group_IT_number 123
_space_group_name_Hall '-P 4 2'
_cell_length_a 4.056
_cell_length_b 4.056
_cell_length_c 5.401
_cell_angle_alpha 90.00
_cell_angle_beta 90.00
_cell_angle_gamma 90.00
loop_
_atom_site_label
_atom_site_type_symbol
_atom_site_fract_x
_atom_site_fract_y
_atom_site_fract_z
_atom_site_occupancy
Ta1 Ta 0.000 0.000 0.000 1
Be1 Be 0.500 0.500 0.000 1
Cd1 Cd 0.000 0.000 0.500 1
C1 C 0.000 0.500 0.500 1
# Fermi-level density of states   5.82 states/eV/f.u.
# Spin magnetization   0.00 μB/atom
# Raw total energy   -19.20 eV/cell

| no. | volume (Å³ per cell) |
| --- | --- |
| 1 | 170.0 |
| 2 | 109.0 |
| 3 | 78.9 |
| 4 | 88.8 |